P.
Density functional theory data (PBE) for an optimized crystal structure of BaSc2Tl.

POSCAR file:
```
BaSc2Tl
1.0
0.0000 3.9248 3.9248
3.9248 0.0000 3.9248
3.9248 3.9248 0.0000
Ba Sc Tl
1 2 1
direct
0.0000 0.0000 0.0000
0.5000 0.5000 0.5000
0.7500 0.7500 0.7500
0.2500 0.2500 0.2500
```

Values from the calculation:
Crystal system   cubic
Symmetry   No. 216

***

Q.
Density functional theory data (PBE) for an optimized crystal structure of BaSc2Tl.

POSCAR file:
```
BaSc2Tl
1.0
1.8084 1.0441 10.7740
-1.8084 1.0441 10.7740
0.0000 -2.0882 10.7740
Ba Sc Tl
1 2 1
direct
0.0000 0.0000 0.0000
0.2366 0.2366 0.2366
0.7634 0.7634 0.7634
0.5000 0.5000 0.5000
```

Values from the calculation:
Crystal system   trigonal
Symmetry   No. 166

***

Here are the energies relative to the best structure, in kJ/mol of atoms: P 0.8; Q 0.0.